Entry 1:
{
  "formula": "ZrV3Pt",
  "functional": "GGA-PBE",
  "state": "relaxed",
  "cell": [[4.567, 0.000, 0.000], [0.000, 4.567, 0.000], [0.000, 0.000, 4.567]],
  "species": ["V", "V", "Pt", "V", "Zr"],
  "fractional_positions": [[0.500, 0.000, 0.000], [0.000, 0.000, 0.500], [0.500, 0.500, 0.500], [0.000, 0.500, 0.000], [0.000, 0.000, 0.000]],
  "ef_ev_per_atom": 1.576,
  "dos_at_fermi_per_ev_atom": 1.151,
  "energy_ha_per_atom": -0.2504,
  "polymorph_energy_mev_per_atom": 736.3
}


Entry 2:
{
  "formula": "Zr3VPt",
  "functional": "GGA-PBE",
  "state": "relaxed",
  "cell": [[5.094, 0.000, 0.000], [0.000, 5.094, 0.000], [0.000, 0.000, 5.094]],
  "species": ["Zr", "Pt", "Zr", "Zr", "V"],
  "fractional_positions": [[0.500, 0.000, 0.000], [0.000, 0.000, 0.000], [0.000, 0.000, 0.500], [0.000, 0.500, 0.000], [0.500, 0.500, 0.500]],
  "ef_ev_per_atom": 0.546,
  "dos_at_fermi_per_ev_atom": 1.601,
  "energy_ha_per_atom": -0.2798,
  "polymorph_energy_mev_per_atom": 43.3
}


Entry 3:
{
  "formula": "PtW",
  "functional": "GGA-PBE",
  "state": "relaxed",
  "cell": [[5.216, 0.000, 0.000], [0.000, 5.216, 0.000], [0.000, 0.000, 5.236]],
  "species": ["W", "Pt", "W", "W", "Pt", "Pt", "Pt", "W"],
  "fractional_positions": [[0.674, 0.326, 0.000], [0.816, 0.816, 0.000], [0.326, 0.674, 0.000], [0.826, 0.826, 0.500], [0.316, 0.684, 0.500], [0.184, 0.184, 0.000], [0.684, 0.316, 0.500], [0.174, 0.174, 0.500]],
  "ef_ev_per_atom": 0.576,
  "dos_at_fermi_per_ev_atom": 0.905,
  "energy_ha_per_atom": -0.3278
}


Entry 4:
{
  "formula": "PtW",
  "functional": "GGA-PBE",
  "state": "relaxed",
  "cell": [[-2.176, 3.562, 1.000], [-1.919, -3.137, -2.213], [-1.640, -2.329, 4.725]],
  "species": ["Pt", "Pt", "W", "W"],
  "fractional_positions": [[0.333, 0.667, 0.768], [0.667, 0.333, 0.268], [0.333, 0.667, 0.314], [0.667, 0.333, 0.814]],
  "ef_ev_per_atom": 0.981,
  "dos_at_fermi_per_ev_atom": 0.993,
  "energy_ha_per_atom": -0.3130
}


Entry 5:
{
  "formula": "Pt3W",
  "functional": "GGA-PBE",
  "state": "relaxed",
  "cell": [[-1.310, 2.635, -1.722], [-2.946, -1.683, -0.333], [-1.782, 2.189, 4.705]],
  "species": ["Pt", "Pt", "W", "Pt"],
  "fractional_positions": [[0.000, 0.000, 0.507], [0.500, 0.500, 0.250], [0.500, 0.500, 0.750], [0.000, 0.000, 0.993]],
  "ef_ev_per_atom": -0.117,
  "dos_at_fermi_per_ev_atom": 0.737,
  "energy_ha_per_atom": -0.2898
}


Entry 6:
{
  "formula": "PtW4",
  "functional": "GGA-PBE",
  "state": "relaxed",
  "cell": [[-2.049, 2.049, 5.631], [2.049, -2.049, 5.631], [2.049, 2.049, -5.631]],
  "species": ["W", "W", "Pt", "W", "W"],
  "fractional_positions": [[0.250, 0.750, 0.500], [0.750, 0.250, 0.500], [0.000, 0.000, 0.000], [0.387, 0.387, 0.000], [0.613, 0.613, 0.000]],
  "ef_ev_per_atom": 1.043,
  "dos_at_fermi_per_ev_atom": 0.974,
  "energy_ha_per_atom": -0.3869,
  "polymorph_energy_mev_per_atom": 931.4
}


What is the formula in the fifth record? Pt3W


Copy entry 3 word for word.
{
  "formula": "PtW",
  "functional": "GGA-PBE",
  "state": "relaxed",
  "cell": [[5.216, 0.000, 0.000], [0.000, 5.216, 0.000], [0.000, 0.000, 5.236]],
  "species": ["W", "Pt", "W", "W", "Pt", "Pt", "Pt", "W"],
  "fractional_positions": [[0.674, 0.326, 0.000], [0.816, 0.816, 0.000], [0.326, 0.674, 0.000], [0.826, 0.826, 0.500], [0.316, 0.684, 0.500], [0.184, 0.184, 0.000], [0.684, 0.316, 0.500], [0.174, 0.174, 0.500]],
  "ef_ev_per_atom": 0.576,
  "dos_at_fermi_per_ev_atom": 0.905,
  "energy_ha_per_atom": -0.3278
}